# 1
Entry from Alexandria: a relaxed structure of MnTl (GGA-PBEsol).

Cell lengths 3.1275, 3.1275, 9.9774 Å; angles 90.00, 90.00, 120.00 degrees
Space group P6_3mc (No. 186)
Symmetry-distinct sites (fractional):
Mn1 0.3333 0.6667 0.0000 (multiplicity 2)
Tl1 0.3333 0.6667 0.7298 (multiplicity 2)

The crystal system is hexagonal. As for the density: 10.2 g/cm3. The calculation puts the formation energy at 0.84 eV/atom. The density of states at the Fermi level is 2.5 states/eV/f.u. Its raw total energy is -5.35 eV/atom.

# 2
Entry from Alexandria: a relaxed structure of MnTl (GGA-PBEsol).

Cell lengths 3.407, 5.154, 4.415 Å; angles 90.00, 90.00, 90.00 degrees
Space group Cmmm (No. 65)
Symmetry-distinct sites (fractional):
Mn1 0.000 0.000 0.000 (multiplicity 2)
Tl1 0.000 0.500 0.500 (multiplicity 2)

The crystal system is orthorhombic. As for the density: 11.1 g/cm3. The calculation puts the formation energy at 0.69 eV/atom. The density of states at the Fermi level is 1.8 states/eV/f.u. Its raw total energy is -5.51 eV/atom.

# 3
Entry from Alexandria: a relaxed structure of MnTl3 (GGA-PBEsol).

Cell lengths 3.140, 4.664, 13.359 Å; angles 90.00, 90.00, 90.00 degrees
Space group Immm (No. 71)
Symmetry-distinct sites (fractional):
Mn1 0.000 0.000 0.000 (multiplicity 2)
Tl1 0.000 0.000 0.500 (multiplicity 2)
Tl2 0.000 0.500 0.314 (multiplicity 4)

The crystal system is orthorhombic. As for the density: 11.3 g/cm3. The calculation puts the formation energy at 0.36 eV/atom. The density of states at the Fermi level is 2.5 states/eV/f.u. Its raw total energy is -4.05 eV/atom.

Look up the raw total energy of the third one.
-4.05 eV/atom